Crystalline YHo2Ni2 at its relaxed geometry, computed with PBE-GGA.

```
data_YHo2Ni2
_chemical_formula_sum 'Y4 Ho8 Ni8'
_cell_length_a 3.6680
_cell_length_b 26.4795
_cell_length_c 4.5631
_cell_angle_alpha 90.00
_cell_angle_beta 90.00
_cell_angle_gamma 90.00
_symmetry_space_group_name_H-M 'C m c m'
_symmetry_Int_Tables_number 63
_symmetry_space_group_name_Hall '-C 2c 2'
loop_
_atom_site_label
_atom_site_type_symbol
_atom_site_fract_x
_atom_site_fract_y
_atom_site_fract_z
Y1 Y 0.0000 0.1346 0.2500
Ho1 Ho 0.0000 0.2295 0.7500
Ho2 Ho 0.0000 0.4492 0.2500
Ni1 Ni 0.0000 0.0268 0.2500
Ni2 Ni 0.0000 0.3444 0.2500
```

Values from the calculation:
V: 22.16 Å³/atom
calculated total energy: -114.471 eV for the cell shown
energy above the lowest structure with this stoichiometry: 0.0 meV/atom
energy relative to the elements: -287 meV per atom

---

Crystalline Hf4AlPb at its relaxed geometry, computed with PBE-GGA.

```
data_Hf4AlPb
_chemical_formula_sum 'Hf16 Al4 Pb4'
_cell_length_a 8.9301
_cell_length_b 12.6104
_cell_length_c 5.8044
_cell_angle_alpha 90.00
_cell_angle_beta 125.82
_cell_angle_gamma 90.00
_symmetry_space_group_name_H-M 'C 1 2/c 1'
_symmetry_Int_Tables_number 15
loop_
_symmetry_equiv_pos_as_xyz
'x,y,z'
'-x,-y,-z'
'-x,y,-z+1/2'
'x,-y,z+1/2'
'x+1/2,y+1/2,z'
'-x+1/2,-y+1/2,-z'
'-x+1/2,y+1/2,-z+1/2'
'x+1/2,-y+1/2,z+1/2'
loop_
_atom_site_label
_atom_site_type_symbol
_atom_site_fract_x
_atom_site_fract_y
_atom_site_fract_z
Hf1 Hf 0.1536 0.1981 0.1608
Hf2 Hf 0.1706 0.0508 0.7526
Al1 Al 0.0000 0.3638 0.7500
Pb1 Pb 0.0000 0.3976 0.2500
```

Values from the calculation:
V: 22.09 Å³/atom
calculated total energy: -190.788 eV for the cell shown
energy relative to the elements: -72 meV per atom

---

Crystalline ScVInAg2 at its relaxed geometry, computed with PBE-GGA.

```
data_ScVInAg2
_chemical_formula_sum 'Sc1 V1 In1 Ag2'
_cell_length_a 4.9839
_cell_length_b 4.9839
_cell_length_c 5.0451
_cell_angle_alpha 90.00
_cell_angle_beta 90.00
_cell_angle_gamma 90.00
_symmetry_space_group_name_H-M 'P 4/m m m'
_symmetry_Int_Tables_number 123
_symmetry_space_group_name_Hall '-P 4 2'
loop_
_atom_site_label
_atom_site_type_symbol
_atom_site_fract_x
_atom_site_fract_y
_atom_site_fract_z
Sc1 Sc 0.0000 0.0000 0.0000
V1 V 0.5000 0.5000 0.0000
In1 In 0.5000 0.5000 0.5000
Ag1 Ag 0.0000 0.5000 0.5000
```

Values from the calculation:
V: 25.06 Å³/atom
calculated total energy: -18.911 eV for the cell shown
energy relative to the elements: 996 meV per atom

---

Crystalline Ni23SbPt6 at its relaxed geometry, computed with PBE-GGA.

```
data_Ni23SbPt6
_chemical_formula_sum 'Ni92 Sb4 Pt24'
_cell_length_a 11.4284
_cell_length_b 11.4284
_cell_length_c 11.4284
_cell_angle_alpha 90.00
_cell_angle_beta 90.00
_cell_angle_gamma 90.00
_symmetry_space_group_name_H-M 'F m -3 m'
_symmetry_Int_Tables_number 225
_symmetry_space_group_name_Hall '-F 4 2 3'
loop_
_atom_site_label
_atom_site_type_symbol
_atom_site_fract_x
_atom_site_fract_y
_atom_site_fract_z
Ni1 Ni 0.0000 0.0000 0.0000
Ni2 Ni 0.0000 0.2500 0.2500
Ni3 Ni 0.1225 0.1225 0.1225
Ni4 Ni 0.1676 0.1676 0.3324
Sb1 Sb 0.0000 0.0000 0.5000
Pt1 Pt 0.0000 0.0000 0.2683
```

Values from the calculation:
V: 12.44 Å³/atom
calculated total energy: -690.407 eV for the cell shown
E_form (uncorrected): 25 meV per atom

---

Crystalline Cs2LaInTe4 at its relaxed geometry, computed with PBE-GGA.

```
data_Cs2LaInTe4
_chemical_formula_sum 'Cs8 La4 In4 Te16'
_cell_length_a 9.5938
_cell_length_b 9.9263
_cell_length_c 14.0501
_cell_angle_alpha 90.00
_cell_angle_beta 90.00
_cell_angle_gamma 90.00
_symmetry_space_group_name_H-M 'I m m a'
_symmetry_Int_Tables_number 74
_symmetry_space_group_name_Hall '-I 2b 2'
loop_
_atom_site_label
_atom_site_type_symbol
_atom_site_fract_x
_atom_site_fract_y
_atom_site_fract_z
Cs1 Cs 0.0000 0.0000 0.0000
Cs2 Cs 0.2500 0.2500 0.2500
La1 La 0.0000 0.0000 0.5000
In1 In 0.2500 0.2500 0.7500
Te1 Te 0.0000 0.0494 0.7353
Te2 Te 0.2171 0.2500 0.5200
```

Values from the calculation:
V: 41.81 Å³/atom
calculated total energy: -118.198 eV for the cell shown
E_form (uncorrected): -951 meV per atom

---

Crystalline PmCdGe2Pt5 at its relaxed geometry, computed with PBE-GGA.

```
data_PmCdGe2Pt5
_chemical_formula_sum 'Pm1 Cd1 Ge2 Pt5'
_cell_length_a 4.2711
_cell_length_b 4.2711
_cell_length_c 9.0929
_cell_angle_alpha 90.00
_cell_angle_beta 90.00
_cell_angle_gamma 90.00
_symmetry_space_group_name_H-M 'P 4/m m m'
_symmetry_Int_Tables_number 123
_symmetry_space_group_name_Hall '-P 4 2'
loop_
_atom_site_label
_atom_site_type_symbol
_atom_site_fract_x
_atom_site_fract_y
_atom_site_fract_z
Pm1 Pm 0.0000 0.0000 0.0000
Cd1 Cd 0.0000 0.0000 0.5000
Ge1 Ge 0.5000 0.5000 0.3686
Pt1 Pt 0.0000 0.5000 0.2322
Pt2 Pt 0.5000 0.5000 0.0000
```

Values from the calculation:
V: 18.43 Å³/atom
calculated total energy: -50.261 eV for the cell shown
energy relative to the elements: -573 meV per atom

---

Crystalline TaIn2Ir at its relaxed geometry, computed with PBE-GGA.

```
data_TaIn2Ir
_chemical_formula_sum 'Ta4 In8 Ir4'
_cell_length_a 6.7105
_cell_length_b 6.7105
_cell_length_c 6.7105
_cell_angle_alpha 90.00
_cell_angle_beta 90.00
_cell_angle_gamma 90.00
_symmetry_space_group_name_H-M 'F -4 3 m'
_symmetry_Int_Tables_number 216
_symmetry_space_group_name_Hall 'F -4 2 3'
loop_
_atom_site_label
_atom_site_type_symbol
_atom_site_fract_x
_atom_site_fract_y
_atom_site_fract_z
Ta1 Ta 0.0000 0.0000 0.0000
In1 In 0.0000 0.0000 0.5000
In2 In 0.2500 0.2500 0.2500
Ir1 Ir 0.2500 0.2500 0.7500
```

Values from the calculation:
V: 18.89 Å³/atom
calculated total energy: -100.787 eV for the cell shown
energy above the lowest structure with this stoichiometry: 375.6 meV/atom
energy relative to the elements: 248 meV per atom

---

Crystalline Nb2Cu2Hg at its relaxed geometry, computed with PBE-GGA.

```
data_Nb2Cu2Hg
_chemical_formula_sum 'Nb4 Cu4 Hg2'
_cell_length_a 7.1727
_cell_length_b 7.1727
_cell_length_c 3.1777
_cell_angle_alpha 90.00
_cell_angle_beta 90.00
_cell_angle_gamma 90.00
_symmetry_space_group_name_H-M 'P 4/m b m'
_symmetry_Int_Tables_number 127
_symmetry_space_group_name_Hall '-P 4 2ab'
loop_
_atom_site_label
_atom_site_type_symbol
_atom_site_fract_x
_atom_site_fract_y
_atom_site_fract_z
Nb1 Nb 0.1702 0.3298 0.0000
Cu1 Cu 0.1234 0.6234 0.5000
Hg1 Hg 0.0000 0.0000 0.5000
```

Values from the calculation:
V: 16.35 Å³/atom
calculated total energy: -55.245 eV for the cell shown
energy relative to the elements: 202 meV per atom

---

Crystalline NaSn at its relaxed geometry, computed with PBE-GGA.

```
data_NaSn
_chemical_formula_sum 'Na6 Sn6'
_cell_length_a 8.5992
_cell_length_b 8.5992
_cell_length_c 8.5992
_cell_angle_alpha 90.00
_cell_angle_beta 90.00
_cell_angle_gamma 90.00
_symmetry_space_group_name_H-M 'P m -3 n'
_symmetry_Int_Tables_number 223
_symmetry_space_group_name_Hall '-P 4n 2 3'
loop_
_atom_site_label
_atom_site_type_symbol
_atom_site_fract_x
_atom_site_fract_y
_atom_site_fract_z
Na1 Na 0.0000 0.2500 0.5000
Sn1 Sn 0.0000 0.5000 0.2500
```

Values from the calculation:
V: 52.99 Å³/atom
calculated total energy: -23.211 eV for the cell shown
energy relative to the elements: 727 meV per atom

---

Crystalline InCuP2 at its relaxed geometry, computed with PBE-GGA.

```
data_InCuP2
_chemical_formula_sum 'In2 Cu2 P4'
_cell_length_a 3.3033
_cell_length_b 3.6958
_cell_length_c 12.5047
_cell_angle_alpha 90.00
_cell_angle_beta 90.00
_cell_angle_gamma 90.00
_symmetry_space_group_name_H-M 'I m m 2'
_symmetry_Int_Tables_number 44
loop_
_symmetry_equiv_pos_as_xyz
'x,y,z'
'-x,-y,z'
'-x,y,z'
'x,-y,z'
'x+1/2,y+1/2,z+1/2'
'-x+1/2,-y+1/2,z+1/2'
'-x+1/2,y+1/2,z+1/2'
'x+1/2,-y+1/2,z+1/2'
loop_
_atom_site_label
_atom_site_type_symbol
_atom_site_fract_x
_atom_site_fract_y
_atom_site_fract_z
In1 In 0.0000 0.0000 0.0000
Cu1 Cu 0.0000 0.5000 0.2099
P1 P 0.0000 0.0000 0.3356
P2 P 0.0000 0.5000 0.7048
```

Values from the calculation:
V: 19.08 Å³/atom
calculated total energy: -33.905 eV for the cell shown
energy relative to the elements: 175 meV per atom

---

Crystalline TaPdSe3 at its relaxed geometry, computed with PBE-GGA.

```
data_TaPdSe3
_chemical_formula_sum 'Ta2 Pd2 Se6'
_cell_length_a 6.3305
_cell_length_b 6.5516
_cell_length_c 6.7691
_cell_angle_alpha 90.95
_cell_angle_beta 114.81
_cell_angle_gamma 118.81
_symmetry_space_group_name_H-M 'P -1'
_symmetry_Int_Tables_number 2
loop_
_symmetry_equiv_pos_as_xyz
'x,y,z'
'-x,-y,-z'
loop_
_atom_site_label
_atom_site_type_symbol
_atom_site_fract_x
_atom_site_fract_y
_atom_site_fract_z
Ta1 Ta 0.1846 0.3609 0.4917
Pd1 Pd 0.2235 0.8601 0.0187
Se1 Se 0.0158 0.4330 0.7703
Se2 Se 0.2933 0.0498 0.6973
Se3 Se 0.3515 0.2671 0.2359
```

Values from the calculation:
V: 21.47 Å³/atom
calculated total energy: -59.998 eV for the cell shown
E_form (uncorrected): -500 meV per atom
energy above the lowest structure with this stoichiometry: 46.9 meV/atom

---

Crystalline RbRuBr2 at its relaxed geometry, computed with PBE-GGA.

```
data_RbRuBr2
_chemical_formula_sum 'Rb4 Ru4 Br8'
_cell_length_a 7.5808
_cell_length_b 7.5808
_cell_length_c 7.5808
_cell_angle_alpha 90.00
_cell_angle_beta 90.00
_cell_angle_gamma 90.00
_symmetry_space_group_name_H-M 'F m -3 m'
_symmetry_Int_Tables_number 225
_symmetry_space_group_name_Hall '-F 4 2 3'
loop_
_atom_site_label
_atom_site_type_symbol
_atom_site_fract_x
_atom_site_fract_y
_atom_site_fract_z
Rb1 Rb 0.0000 0.0000 0.0000
Ru1 Ru 0.0000 0.0000 0.5000
Br1 Br 0.2500 0.2500 0.2500
```

Values from the calculation:
V: 27.23 Å³/atom
calculated total energy: -53.800 eV for the cell shown
E_form (uncorrected): 35 meV per atom
energy above the lowest structure with this stoichiometry: 207.6 meV/atom